Entry 1:
TbEr2Al | PBE | optimized geometry

Cell and atoms, written as POSCAR:
```
TbEr2Al
1.0
3.4928 0.0000 0.0000
0.0000 3.4928 0.0000
0.0000 0.0000 8.9415
Tb Er Al
1 2 1
Cartesian
0.0000 0.0000 0.0000
1.7464 1.7464 2.5621
1.7464 1.7464 6.3793
0.0000 0.0000 4.4707
```

DFT formation energy	-0.20	eV per atom
DFT total energy	-0.3359	Ry/atom
polymorph energy (0 for the lowest one)	4	meV/atom

Entry 2:
Sr2YGaTe5 | PBE | optimized geometry

Cell and atoms, written as POSCAR:
```
Sr2YGaTe5
1.0
2.1967 -10.0959 0.0000
2.1967 10.0959 0.0000
0.0000 0.0000 13.7777
Sr Y Ga Te
4 2 2 10
Cartesian
2.1967 7.6766 6.8888
2.1967 7.5919 1.9312
2.1967 -7.5919 8.8200
2.1967 -7.6766 0.0000
2.1967 5.9386 11.6030
2.1967 -5.9386 4.7142
2.1967 1.2293 3.4705
2.1967 -1.2293 10.3593
2.1967 9.1567 11.9329
2.1967 4.1882 6.8232
2.1967 3.7686 2.5041
2.1967 2.9263 11.3272
2.1967 0.0152 8.0696
2.1967 -0.0152 1.1808
2.1967 -2.9263 4.4384
2.1967 -3.7686 9.3930
2.1967 -4.1882 13.7120
2.1967 -9.1567 5.0441
```

formation energy without anion corrections	-1.255	eV per atom
DFT total energy	-0.3255	Ry/atom

Entry 3:
TePAuO2 | PBE | optimized geometry

Cell and atoms, written as POSCAR:
```
TePAuO2
1.0
4.1003 0.0000 0.0000
0.0000 4.1003 0.0000
0.0000 0.0000 4.9207
Te P Au O
1 1 1 2
Cartesian
0.0000 0.0000 0.0000
2.0501 2.0501 0.0000
2.0501 2.0501 2.4603
0.0000 2.0501 2.4603
2.0501 0.0000 2.4603
```

formation energy without anion corrections	0.487	eV per atom
DFT total energy	-0.2838	Ry/atom
polymorph energy (0 for the lowest one)	580	meV/atom